1.
The following is a DFT calculation (PBE) of Sr2ZrBi after structural relaxation.

Calculated total energy (Ha/atom): -0.1403

Cell lengths 5.618, 5.618, 5.618 Å; angles 60.00, 60.00, 60.00 degrees
Last column: magnetic moment on the atom in μB.
Sites, in units of the cell vectors:
Sr 0.500 0.500 0.500  0.03
Sr 0.250 0.250 0.250  0.01
Zr 0.000 0.000 0.000  0.59
Bi 0.750 0.750 0.750  -0.03


2.
The following is a DFT calculation (PBE) of SrZrBi after structural relaxation.

Calculated total energy (Ha/atom): -0.1733

Cell lengths 5.259, 5.259, 5.259 Å; angles 60.00, 60.00, 60.00 degrees
Sites, in units of the cell vectors:
Sr 0.250 0.250 0.250
Zr 0.750 0.750 0.750
Bi 0.000 0.000 0.000


3.
The following is a DFT calculation (PBE) of TbTaBi after structural relaxation.

Calculated total energy (Ha/atom): -0.2316

Cell lengths 4.897, 4.897, 4.897 Å; angles 60.00, 60.00, 60.00 degrees
Last column: magnetic moment on the atom in μB.
Sites, in units of the cell vectors:
Tb 0.750 0.750 0.750  0.01
Ta 0.250 0.250 0.250  0.24
Bi 0.000 0.000 0.000  0.00


4.
The following is a DFT calculation (PBE) of TaTcBi after structural relaxation.

Calculated total energy (Ha/atom): -0.3087

Cell lengths 4.501, 4.501, 4.501 Å; angles 60.00, 60.00, 60.00 degrees
Sites, in units of the cell vectors:
Ta 0.750 0.750 0.750
Tc 0.000 0.000 0.000
Bi 0.250 0.250 0.250


5.
The following is a DFT calculation (PBE) of Ta2TcBi after structural relaxation.

Calculated total energy (Ha/atom): -0.3339

Cell lengths 4.723, 4.723, 4.723 Å; angles 60.00, 60.00, 60.00 degrees
Sites, in units of the cell vectors:
Tc 0.250 0.250 0.250
Ta 0.000 0.000 0.000
Ta 0.750 0.750 0.750
Bi 0.500 0.500 0.500


6.
The following is a DFT calculation (PBE) of TaTcBi2 after structural relaxation.

Calculated total energy (Ha/atom): -0.2487

Cell lengths 4.966, 4.966, 4.966 Å; angles 60.00, 60.00, 60.00 degrees
Last column: magnetic moment on the atom in μB.
Sites, in units of the cell vectors:
Tc 0.250 0.250 0.250  0.51
Bi 0.750 0.750 0.750  0.04
Bi 0.500 0.500 0.500  0.01
Ta 0.000 0.000 0.000  0.04


7.
The following is a DFT calculation (PBE) of TaTcBi after structural relaxation.

Calculated total energy (Ha/atom): -0.2942

Cell lengths 4.564, 4.564, 4.564 Å; angles 60.00, 60.00, 60.00 degrees
Sites, in units of the cell vectors:
Ta 0.000 0.000 0.000
Tc 0.750 0.750 0.750
Bi 0.250 0.250 0.250


8.
The following is a DFT calculation (PBE) of Ta3TlBi5 after structural relaxation.

Calculated total energy (Ha/atom): -0.2327

Cell lengths 5.822, 5.822, 8.877 Å; angles 90.00, 90.00, 120.00 degrees
Sites, in units of the cell vectors:
Bi 0.333 0.667 0.216
Bi 0.333 0.667 0.784
Bi 0.667 0.333 0.216
Bi 0.000 0.000 0.500
Bi 0.667 0.333 0.784
Tl 0.000 0.000 0.000
Ta 0.000 0.500 0.500
Ta 0.500 0.000 0.500
Ta 0.500 0.500 0.500


9.
The following is a DFT calculation (PBE) of TaBiW after structural relaxation.

Calculated total energy (Ha/atom): -0.3194

Cell lengths 4.602, 4.602, 4.602 Å; angles 60.00, 60.00, 60.00 degrees
Sites, in units of the cell vectors:
Bi 0.250 0.250 0.250
W 0.000 0.000 0.000
Ta 0.750 0.750 0.750


10.
The following is a DFT calculation (PBE) of YTaBi after structural relaxation.

Calculated total energy (Ha/atom): -0.2383

Cell lengths 5.069, 5.069, 5.069 Å; angles 60.00, 60.00, 60.00 degrees
Sites, in units of the cell vectors:
Y 0.000 0.000 0.000
Ta 0.750 0.750 0.750
Bi 0.250 0.250 0.250


11.
The following is a DFT calculation (PBE) of Y2TaBi after structural relaxation.

Calculated total energy (Ha/atom): -0.2550

Cell lengths 5.213, 5.213, 5.213 Å; angles 60.00, 60.00, 60.00 degrees
Last column: magnetic moment on the atom in μB.
Sites, in units of the cell vectors:
Y 0.750 0.750 0.750  -0.02
Y 0.000 0.000 0.000  0.40
Bi 0.500 0.500 0.500  -0.03
Ta 0.250 0.250 0.250  0.91


12.
The following is a DFT calculation (PBE) of YTaBi after structural relaxation.

Calculated total energy (Ha/atom): -0.2478

Cell lengths 5.004, 5.004, 5.004 Å; angles 60.00, 60.00, 60.00 degrees
Sites, in units of the cell vectors:
Bi 0.250 0.250 0.250
Ta 0.000 0.000 0.000
Y 0.750 0.750 0.750